ZrAsPb2 after structural relaxation, computed with GGA-PBE.

Properties
calculated volume: 24.62 Å³/atom
DOS(E_F): 0.608 states/eV per atom
ΔH_f (0 K): 0.05 eV per atom
magnetization: 0.000 μB/atom

abc: 5.6300 5.6300 3.2257
angles: 90.00 90.00 105.60
With the nearest neighbours (Å) after each atom.
Fractional positions:
Zr 0.0000 0.0000 0.0000  2 Zr 3.23, 8 Pb 3.24, 2 As 3.40
As 0.5000 0.5000 0.0000  2 As 3.23, 8 Pb 3.24, 2 Zr 3.40
Pb 0.0000 0.5000 0.5000  4 Pb 3.23-3.40, 4 As 3.24, 4 Zr 3.24
Pb 0.5000 0.0000 0.5000  4 Pb 3.23-3.40, 4 As 3.24, 4 Zr 3.24